The following is a DFT calculation (PBE) of an optimized crystal structure of CaCd2Ni.

Its magnetic moment is 0.000 μB/cell. The formation energy comes out at -88 meV per atom.

The structure belongs to space group R-3m (No. 166, hexagonal axes); the cell edges are 4.5167, 4.5167 and 15.7456 Å and the angles 90.00°, 90.00° and 120.00°. The distinct sites, in fractional coordinates, are Ca at (0.0000, 0.0000, 0.0000), Cd at (0.0000, 0.0000, 0.2113) and Ni at (0.0000, 0.0000, 0.5000).